Entry 1:
A relaxed NaCrSe2 crystal, computed with PBEsol.

Summary:
calculated total energy	-5.359	eV per atom

Unit cell a=6.881 b=6.881 c=8.148 alpha=90.00 beta=90.00 gamma=90.00
Space group I-42d (No. 122)
Asymmetric unit:
Na (0.000, 0.000, 0.000) [4 per cell]
Cr (0.000, 0.000, 0.500) [4 per cell]
Se (0.185, 0.250, 0.625) [8 per cell]



Entry 2:
A relaxed ZnCd3 crystal, computed with PBEsol.

Summary:
calculated total energy	-1.229	eV per atom
E_form	64	meV/atom

Unit cell a=4.280 b=4.280 c=16.852 alpha=90.00 beta=90.00 gamma=90.00
Space group I4/mmm (No. 139)
Asymmetric unit:
Zn (0.000, 0.000, 0.125) [4 per cell]
Cd (0.000, 0.000, 0.375) [4 per cell]
Cd (0.000, 0.500, 0.000) [4 per cell]
Cd (0.000, 0.500, 0.250) [4 per cell]



Entry 3:
A relaxed CaSc3N crystal, computed with PBEsol.

Summary:
calculated total energy	-3.927	eV per atom

Unit cell a=4.819 b=4.819 c=4.819 alpha=90.00 beta=90.00 gamma=90.00
Space group Pm-3m (No. 221)
Asymmetric unit:
Ca (0.000, 0.000, 0.000) [1 per cell]
Sc (0.000, 0.000, 0.500) [3 per cell]
N (0.500, 0.500, 0.500) [1 per cell]



Entry 4:
A relaxed KSr2Bi3O9 crystal, computed with PBEsol.

Summary:
calculated total energy	-5.918	eV per atom

Unit cell a=6.0610 b=6.0610 c=7.4305 alpha=90.00 beta=90.00 gamma=120.00
Space group P-3m1 (No. 164)
Asymmetric unit:
K (0.0000, 0.0000, 0.0000) [1 per cell]
Sr (0.3333, 0.6667, 0.6411) [2 per cell]
Bi (0.0000, 0.0000, 0.5000) [1 per cell]
Bi (0.3333, 0.6667, 0.1610) [2 per cell]
O (0.0000, 0.5000, 0.0000) [3 per cell]
O (0.1751, 0.3501, 0.3515) [6 per cell]



Entry 5:
A relaxed Be2PPd2 crystal, computed with PBEsol.

Summary:
calculated total energy	-5.405	eV per atom
E_form	-263	meV/atom

Unit cell a=6.591 b=6.591 c=2.779 alpha=90.00 beta=90.00 gamma=90.00
Space group P4/mbm (No. 127)
Asymmetric unit:
Be (0.134, 0.366, 0.000) [4 per cell]
P (0.000, 0.000, 0.500) [2 per cell]
Pd (0.159, 0.659, 0.500) [4 per cell]



Entry 6:
A relaxed MgRhSe2 crystal, computed with PBEsol.

Summary:
calculated total energy	-4.970	eV per atom

Unit cell a=3.695 b=3.695 c=5.237 alpha=90.00 beta=90.00 gamma=90.00
Space group P4mm (No. 99)
Asymmetric unit:
Mg (0.000, 0.000, 0.000) [1 per cell]
Rh (0.500, 0.500, 0.464) [1 per cell]
Se (0.000, 0.000, 0.497) [1 per cell]
Se (0.500, 0.500, 0.963) [1 per cell]



Entry 7:
A relaxed BaZrSb2 crystal, computed with PBEsol.

Summary:
calculated total energy	-5.082	eV per atom
energy above the most stable polymorph in this dataset	78.9	kJ/mol of atoms

Unit cell a=7.552 b=7.552 c=7.552 alpha=90.00 beta=90.00 gamma=90.00
Space group F-43m (No. 216)
Asymmetric unit:
Ba (0.000, 0.000, 0.000) [4 per cell]
Zr (0.250, 0.250, 0.750) [4 per cell]
Sb (0.000, 0.000, 0.500) [4 per cell]
Sb (0.250, 0.250, 0.250) [4 per cell]



Entry 8:
A relaxed HfTl2PbSe4 crystal, computed with PBEsol.

Summary:
calculated total energy	-5.180	eV per atom

Unit cell a=15.735 b=8.416 c=6.944 alpha=90.00 beta=109.10 gamma=90.00
Space group C2/c (No. 15)
Asymmetric unit:
Hf (0.000, 0.122, 0.250) [4 per cell]
Tl (0.248, 0.373, 0.229) [8 per cell]
Pb (0.000, 0.377, 0.750) [4 per cell]
Se (0.100, 0.103, 0.005) [8 per cell]
Se (0.110, 0.343, 0.467) [8 per cell]



Entry 9:
A relaxed CoPdRh2C crystal, computed with PBEsol.

Summary:
calculated total energy	-6.614	eV per atom
E_form	1309	meV/atom

Unit cell a=4.556 b=4.556 c=3.388 alpha=90.00 beta=90.00 gamma=90.00
Space group P4/mmm (No. 123)
Asymmetric unit:
Co (0.000, 0.000, 0.000) [1 per cell]
Pd (0.500, 0.500, 0.500) [1 per cell]
Rh (0.000, 0.500, 0.000) [2 per cell]
C (0.000, 0.000, 0.500) [1 per cell]



Entry 10:
A relaxed BaNaLi2 crystal, computed with PBEsol.

Summary:
calculated total energy	-1.773	eV per atom
E_form	98	meV/atom

Unit cell a=8.327 b=8.327 c=8.327 alpha=90.00 beta=90.00 gamma=90.00
Space group Fm-3m (No. 225)
Asymmetric unit:
Ba (0.000, 0.000, 0.000) [4 per cell]
Na (0.000, 0.000, 0.500) [4 per cell]
Li (0.250, 0.250, 0.250) [8 per cell]



Entry 11:
A relaxed Be2WSe crystal, computed with PBEsol.

Summary:
calculated total energy	-6.048	eV per atom

Unit cell a=8.675 b=2.944 c=4.154 alpha=90.00 beta=93.55 gamma=90.00
Space group Cm (No. 8)
Asymmetric unit:
Be (0.000, 0.000, 0.000) [2 per cell]
Be (0.237, 0.000, 0.757) [2 per cell]
W (0.231, 0.500, 0.235) [2 per cell]
Se (0.456, 0.000, 0.426) [2 per cell]



Entry 12:
A relaxed ZrTaSi2 crystal, computed with PBEsol.

Summary:
calculated total energy	-8.724	eV per atom
energy above the most stable polymorph in this dataset	28.0	kJ/mol of atoms

Unit cell a=5.980 b=7.548 c=2.994 alpha=90.00 beta=103.75 gamma=90.00
Space group C2/m (No. 12)
Asymmetric unit:
Zr (0.000, 0.000, 0.000) [2 per cell]
Ta (0.000, 0.500, 0.000) [2 per cell]
Si (0.250, 0.250, 0.500) [4 per cell]